# 1
First-principles (GGA-PBE) data for crystalline ThAgAsO at its relaxed geometry, as listed in Alexandria.

Structure (CIF):
```
data_ThAgAsO
_chemical_formula_sum 'Th2 Ag2 As2 O2'
_symmetry_space_group_name_H-M 'P 4/n m m'
_symmetry_Int_Tables_number 129
_cell_length_a 4.053
_cell_length_b 4.053
_cell_length_c 9.019
_cell_angle_alpha 90.00
_cell_angle_beta 90.00
_cell_angle_gamma 90.00
loop_
_symmetry_equiv_pos_as_xyz
'x,y,z'
'-x,-y,-z'
'-y+1/2,x,z'
'y+1/2,-x,-z'
'-x+1/2,-y+1/2,z'
'x+1/2,y+1/2,-z'
'y,-x+1/2,z'
'-y,x+1/2,-z'
'x+1/2,-y,-z'
'-x+1/2,y,z'
'-y,-x,-z'
'y,x,z'
'-x,y+1/2,-z'
'x,-y+1/2,z'
'y+1/2,x+1/2,-z'
'-y+1/2,-x+1/2,z'
loop_
_atom_site_label
_atom_site_type_symbol
_atom_site_fract_x
_atom_site_fract_y
_atom_site_fract_z
Th1 Th 0.250 0.250 0.148
Ag1 Ag 0.250 0.750 0.500
As1 As 0.250 0.250 0.707
O1 O 0.250 0.750 0.000
```

Values from the calculation:
Uncorrected formation energy in eV per formula unit: -7.39
DFT total energy in eV per atom: -6.82
Crystal system: tetragonal
D(E_F) in states/eV/cell: 0.3

---

# 2
First-principles (GGA-PBE) data for crystalline ThAgAs2O8 at its relaxed geometry, as listed in Alexandria.

Structure (CIF):
```
data_ThAgAs2O8
_chemical_formula_sum 'Th1 Ag1 As2 O8'
_symmetry_space_group_name_H-M 'P -3 m 1'
_symmetry_Int_Tables_number 164
_symmetry_space_group_name_Hall '-P 3 2"'
_cell_length_a 5.8131
_cell_length_b 5.8131
_cell_length_c 6.8483
_cell_angle_alpha 90.00
_cell_angle_beta 90.00
_cell_angle_gamma 120.00
loop_
_atom_site_label
_atom_site_type_symbol
_atom_site_fract_x
_atom_site_fract_y
_atom_site_fract_z
Th1 Th 0.0000 0.0000 0.0000
Ag1 Ag 0.0000 0.0000 0.5000
As1 As 0.3333 0.6667 0.6895
O1 O 0.1735 0.3470 0.7834
O2 O 0.3333 0.6667 0.4438
```

Values from the calculation:
Uncorrected formation energy in eV per formula unit: -18.61
DFT total energy in eV per atom: -6.49
Crystal system: trigonal
D(E_F) in states/eV/cell: 11.0